Entry 1:
VASP calculation (PBE) on a relaxed Pr5NdGe4 crystal.

```
data_Pr5NdGe4
_chemical_formula_sum 'Pr10 Nd2 Ge8'
_cell_length_a 15.9195
_cell_length_b 5.2123
_cell_length_c 7.1006
_cell_angle_alpha 90.00
_cell_angle_beta 90.24
_cell_angle_gamma 90.00
_space_group_name_H-M_alt 'C 1 2/m 1'
_space_group_IT_number 12
_space_group_name_Hall '-C 2y'
loop_
_atom_site_label
_atom_site_type_symbol
_atom_site_fract_x
_atom_site_fract_y
_atom_site_fract_z
_atom_site_occupancy
Pr1 Pr 0.0000 0.0000 0.0000 1
Pr2 Pr 0.1652 0.5000 0.5078 1
Pr3 Pr 0.1648 0.5000 0.9924 1
Nd1 Nd 0.0000 0.0000 0.5000 1
Ge1 Ge 0.0097 0.5000 0.2519 1
Ge2 Ge 0.1775 0.0000 0.7496 1
```

Calculated values
Spin magnetization   0.000 μB per atom
DFT total energy   -5.325 eV/atom
Calculated formation energy   -611 meV per atom

***

Entry 2:
VASP calculation (PBE) on a relaxed BaCaIn2Rh crystal.

```
data_BaCaIn2Rh
_chemical_formula_sum 'Ba1 Ca1 In2 Rh1'
_cell_length_a 5.3217
_cell_length_b 5.3217
_cell_length_c 5.7155
_cell_angle_alpha 90.00
_cell_angle_beta 90.00
_cell_angle_gamma 90.00
_space_group_name_H-M_alt 'P 4/m m m'
_space_group_IT_number 123
_space_group_name_Hall '-P 4 2'
loop_
_atom_site_label
_atom_site_type_symbol
_atom_site_fract_x
_atom_site_fract_y
_atom_site_fract_z
_atom_site_occupancy
Ba1 Ba 0.0000 0.0000 0.0000 1
Ca1 Ca 0.5000 0.5000 0.0000 1
In1 In 0.0000 0.5000 0.5000 1
Rh1 Rh 0.0000 0.0000 0.5000 1
```

Calculated values
Spin magnetization   0.000 μB per atom
DFT total energy   -3.554 eV/atom
Calculated formation energy   -204 meV per atom

***

Entry 3:
VASP calculation (PBE) on a relaxed KZr2Fe crystal.

```
data_KZr2Fe
_chemical_formula_sum 'K4 Zr8 Fe4'
_cell_length_a 6.8712
_cell_length_b 6.8712
_cell_length_c 6.8712
_cell_angle_alpha 90.00
_cell_angle_beta 90.00
_cell_angle_gamma 90.00
_space_group_name_H-M_alt 'F m -3 m'
_space_group_IT_number 225
_space_group_name_Hall '-F 4 2 3'
loop_
_atom_site_label
_atom_site_type_symbol
_atom_site_fract_x
_atom_site_fract_y
_atom_site_fract_z
_atom_site_occupancy
K1 K 0.0000 0.0000 0.0000 1
Zr1 Zr 0.2500 0.2500 0.2500 1
Fe1 Fe 0.0000 0.0000 0.5000 1
```

Calculated values
Spin magnetization   0.000 μB per atom
DFT total energy   -5.686 eV/atom
Calculated formation energy   978 meV per atom

***

Which value of calculated formation energy does entry 1 give? -611 meV per atom

***

Which formula does entry 2 have? BaCaIn2Rh

***

DFT total energy of number 2 (BaCaIn2Rh)? -3.554 eV/atom

***

DFT total energy of number 2 (BaCaIn2Rh)? -3.554 eV/atom